[1]
Pr2Pa2Te7 | PBE | optimized geometry

Unit cell a=4.337 b=9.747 c=9.747 alpha=60.87 beta=77.15 gamma=77.15
Sites, in units of the cell vectors:
Te  0.864  0.422  0.849
Te  0.823  0.064  0.290
Te  0.136  0.151  0.578
Te  0.395  0.707  0.503
Te  0.500  0.014  0.986
Pr  0.737  0.857  0.669
Pa  0.500  0.325  0.675
Pa  0.000  0.776  0.224
Te  0.605  0.497  0.293
Pr  0.263  0.331  0.143
Te  0.177  0.710  0.936

Output
Magnetization ... 0.03 μB/f.u.
Raw formation energy ... -1169 kJ/mol of formula units
Total DFT energy (no corrections) ... -5.6959 eV per atom

[2]
PrPaTe2 | PBE | optimized geometry

Unit cell a=3.809 b=3.809 c=7.660 alpha=90.00 beta=90.00 gamma=90.00
Sites, in units of the cell vectors:
Te  0.000  0.000  0.236
Pa  0.500  0.500  0.000
Pr  0.500  0.500  0.500
Te  0.000  0.000  0.764

Output
Magnetization ... 1.25 μB/f.u.
Raw formation energy ... -377 kJ/mol of formula units
Total DFT energy (no corrections) ... -6.1155 eV per atom

[3]
PrPa3Te6 | PBE | optimized geometry

Unit cell a=4.390 b=9.641 c=9.641 alpha=108.85 beta=90.00 gamma=90.00
Sites, in units of the cell vectors:
Te  0.000  0.099  0.332
Pr  0.000  0.500  0.500
Te  0.000  0.668  0.901
Pa  0.500  0.000  0.500
Te  0.500  0.658  0.342
Pa  0.000  0.000  0.000
Te  0.000  0.901  0.668
Te  0.500  0.342  0.658
Pa  0.500  0.500  0.000
Te  0.000  0.332  0.099

Output
Magnetization ... 5.20 μB/f.u.
Raw formation energy ... -532 kJ/mol of formula units
Total DFT energy (no corrections) ... -5.7634 eV per atom

[4]
PrPaTe4 | PBE | optimized geometry

Unit cell a=7.658 b=7.646 c=7.643 alpha=90.00 beta=85.81 gamma=90.00
Sites, in units of the cell vectors:
Pa  0.000  0.000  0.000
Te  0.679  0.165  0.851
Te  0.821  0.665  0.149
Te  0.321  0.835  0.149
Pr  0.500  0.000  0.500
Te  0.631  0.647  0.659
Te  0.369  0.353  0.341
Pr  0.000  0.500  0.500
Te  0.179  0.335  0.851
Pa  0.500  0.500  0.000
Te  0.131  0.853  0.659
Te  0.869  0.147  0.341

Output
Magnetization ... 0.00 μB/f.u.
Raw formation energy ... -512 kJ/mol of formula units
Total DFT energy (no corrections) ... -5.3581 eV per atom

[5]
Pr2Pa2Te7 | PBE | optimized geometry

Unit cell a=8.049 b=8.243 c=8.243 alpha=113.00 beta=93.42 gamma=93.42
Sites, in units of the cell vectors:
Pr  0.500  0.687  0.313
Te  0.266  0.958  0.568
Te  0.734  0.042  0.432
Te  0.737  0.594  0.594
Pa  0.887  0.295  0.295
Te  0.263  0.406  0.406
Pr  0.500  0.313  0.687
Te  0.000  0.000  0.000
Te  0.266  0.568  0.958
Pa  0.113  0.705  0.705
Te  0.734  0.432  0.042

Output
Magnetization ... 2.02 μB/f.u.
Raw formation energy ... -931 kJ/mol of formula units
Total DFT energy (no corrections) ... -5.4717 eV per atom

[6]
Pr2PaTl3Te6 | PBE | optimized geometry

Unit cell a=7.816 b=7.816 c=8.680 alpha=98.63 beta=98.63 gamma=119.96
Sites, in units of the cell vectors:
Tl  0.170  0.830  0.500
Tl  0.500  0.500  0.500
Pa  0.000  0.000  0.000
Te  0.604  0.927  0.779
Te  0.927  0.604  0.779
Te  0.248  0.248  0.777
Te  0.073  0.396  0.221
Pr  0.334  0.666  0.000
Tl  0.830  0.170  0.500
Te  0.396  0.073  0.221
Te  0.752  0.752  0.223
Pr  0.666  0.334  0.000

Output
Magnetization ... 2.02 μB/f.u.
Raw formation energy ... -1047 kJ/mol of formula units
Total DFT energy (no corrections) ... -4.6548 eV per atom

[7]
PrThPa4 | PBE | optimized geometry

Unit cell a=6.163 b=6.163 c=6.163 alpha=60.00 beta=60.00 gamma=60.00
Sites, in units of the cell vectors:
Pa  0.124  0.625  0.625
Pa  0.625  0.124  0.625
Pa  0.625  0.625  0.124
Pa  0.625  0.625  0.625
Pr  0.250  0.250  0.250
Th  0.000  0.000  0.000

Output
Magnetization ... 0.00 μB/f.u.
Calculated formation energy ... 1.09 eV per formula unit
Total DFT energy (no corrections) ... -8.1827 eV per atom

[8]
Pr2ThPa | PBE | optimized geometry

Unit cell a=3.434 b=3.434 c=12.604 alpha=82.17 beta=82.17 gamma=60.00
Sites, in units of the cell vectors:
Pr  0.913  0.913  0.262
Pr  0.087  0.087  0.738
Pa  0.000  0.000  0.000
Th  0.500  0.500  0.500

Output
Magnetization ... 0.00 μB/f.u.
Calculated formation energy ... 1.38 eV per formula unit
Total DFT energy (no corrections) ... -6.2745 eV per atom

[9]
Pr2PaTl | PBE | optimized geometry

Unit cell a=3.354 b=3.354 c=12.464 alpha=82.27 beta=82.27 gamma=60.00
Sites, in units of the cell vectors:
Pa  0.000  0.000  0.000
Pr  0.089  0.089  0.733
Pr  0.911  0.911  0.267
Tl  0.500  0.500  0.500

Output
Magnetization ... 0.00 μB/f.u.
Calculated formation energy ... 0.96 eV per formula unit
Total DFT energy (no corrections) ... -5.1158 eV per atom

[10]
PrPaTl2 | PBE | optimized geometry

Unit cell a=3.352 b=3.352 c=12.394 alpha=82.23 beta=82.23 gamma=60.00
Sites, in units of the cell vectors:
Pa  0.500  0.500  0.500
Pr  0.000  0.000  0.000
Tl  0.089  0.089  0.734
Tl  0.911  0.911  0.266

Output
Magnetization ... 0.00 μB/f.u.
Calculated formation energy ... 0.85 eV per formula unit
Total DFT energy (no corrections) ... -4.5401 eV per atom

[11]
Pr2PaTl | PBE | optimized geometry

Unit cell a=3.446 b=3.446 c=10.064 alpha=90.00 beta=90.00 gamma=90.00
Sites, in units of the cell vectors:
Tl  0.500  0.500  0.500
Pr  0.000  0.000  0.750
Pa  0.500  0.500  0.000
Pr  0.000  0.000  0.250

Output
Magnetization ... 0.00 μB/f.u.
Calculated formation energy ... 0.04 eV per formula unit
Total DFT energy (no corrections) ... -5.3458 eV per atom

[12]
Pr12Pa3Tl5 | PBE | optimized geometry

Unit cell a=16.102 b=16.102 c=16.102 alpha=109.47 beta=109.47 gamma=109.47
Sites, in units of the cell vectors:
Pr  0.432  0.061  0.332
Tl  0.625  0.750  0.875
Tl  0.875  0.250  0.625
Pr  0.401  0.271  0.332
Pr  0.668  0.439  0.568
Pr  0.832  0.901  0.271
Tl  0.500  0.500  0.000
Pa  0.750  0.875  0.625
Pr  0.129  0.401  0.068
Pr  0.271  0.401  0.832
Pr  0.332  0.561  0.432
Tl  0.250  0.875  0.125
Pr  0.061  0.432  0.832
Pr  0.568  0.629  0.401
Tl  0.000  0.000  0.500
Pa  0.125  0.250  0.875
Pa  0.625  0.250  0.375
Pr  0.832  0.932  0.061
Pa  0.375  0.625  0.250
Pr  0.371  0.432  0.099
Pr  0.668  0.229  0.599
Pr  0.371  0.939  0.771
Pr  0.099  0.932  0.371
Tl  0.750  0.125  0.875
Pr  0.939  0.371  0.271
Tl  0.125  0.750  0.375
Pr  0.629  0.061  0.229
Pr  0.871  0.599  0.932
Pr  0.432  0.371  0.599
Pa  0.875  0.125  0.250
Tl  0.000  0.500  0.000
Tl  0.500  0.500  0.500
Pr  0.932  0.099  0.871
Pa  0.875  0.750  0.125
Pr  0.568  0.939  0.668
Tl  0.000  0.000  0.000
Tl  0.375  0.125  0.750
Tl  0.250  0.375  0.625
Pr  0.901  0.832  0.771
Pr  0.439  0.771  0.871
Pr  0.599  0.729  0.668
Pa  0.375  0.750  0.625
Tl  0.125  0.375  0.250
Pa  0.750  0.375  0.125
Pr  0.561  0.229  0.129
Pr  0.901  0.068  0.629
Pr  0.771  0.332  0.901
Pr  0.401  0.129  0.568
Pr  0.068  0.901  0.129
Pa  0.125  0.875  0.750
Pr  0.129  0.729  0.561
Pr  0.068  0.168  0.439
Pr  0.771  0.439  0.371
Pr  0.932  0.832  0.561
Pr  0.729  0.599  0.168
Pr  0.561  0.332  0.932
Pr  0.061  0.629  0.729
Pr  0.332  0.771  0.401
Tl  0.625  0.875  0.250
Pr  0.939  0.568  0.168
Tl  0.875  0.625  0.750
Pa  0.625  0.375  0.750
Tl  0.500  0.000  0.500
Pr  0.599  0.871  0.432
Pr  0.271  0.871  0.939
Pr  0.229  0.668  0.099
Pa  0.250  0.125  0.375
Tl  0.500  0.000  0.000
Pr  0.629  0.568  0.901
Tl  0.375  0.250  0.125
Tl  0.000  0.500  0.500
Pa  0.250  0.625  0.875
Pr  0.099  0.168  0.229
Tl  0.750  0.625  0.375
Pr  0.729  0.129  0.061
Pr  0.168  0.068  0.939
Pr  0.439  0.668  0.068
Pr  0.871  0.271  0.439
Pr  0.229  0.561  0.629
Pr  0.168  0.099  0.729

Output
Magnetization ... 7.19 μB/f.u.
Calculated formation energy ... 12.05 eV per formula unit
Total DFT energy (no corrections) ... -4.2813 eV per atom